1.
Density functional theory data (GGA-PBE) for Rb3Sn5Hg2 after structural relaxation. Values from VASP.

The structure in Quantum ESPRESSO input format:
```
&SYSTEM
  ibrav = 0, nat = 20, ntyp = 3
/
ATOMIC_SPECIES
Rb 85.47 Rb.upf
Sn 118.71 Sn.upf
Hg 200.59 Hg.upf
ATOMIC_POSITIONS angstrom
Rb 8.819 1.966 0.000
Rb 0.000 0.000 1.933
Rb 2.802 5.813 0.000
Rb 3.215 1.966 3.866
Rb 0.000 0.000 5.799
Rb -2.802 5.813 3.866
Sn 6.017 3.956 -1.933
Sn 4.640 1.979 0.000
Sn 6.017 0.000 1.933
Sn 4.640 -1.979 3.866
Sn 0.000 3.823 1.933
Sn 6.017 3.956 1.933
Sn 1.377 9.758 0.000
Sn 0.000 7.779 1.933
Sn 1.377 5.800 3.866
Sn 0.000 3.823 5.799
Hg 1.773 2.410 0.000
Hg 7.790 5.369 0.000
Hg -1.773 2.410 3.866
Hg 4.244 5.369 3.866
CELL_PARAMETERS angstrom
-6.017 7.779 3.866
6.017 -7.779 3.866
6.017 7.779 -3.866
```

symmetry	No. 72
M_tot	0.00	μB per formula unit
density of states at the Fermi level	0.36	states/eV/atom
total DFT energy (no corrections)	-2.489	eV per atom
E_form	-0.137	eV per atom

2.
Density functional theory data (GGA-PBE) for CeErPd2 after structural relaxation. Values from VASP.

The structure in Quantum ESPRESSO input format:
```
&SYSTEM
  ibrav = 0, nat = 8, ntyp = 3
/
ATOMIC_SPECIES
Ce 140.12 Ce.upf
Er 167.26 Er.upf
Pd 106.42 Pd.upf
ATOMIC_POSITIONS angstrom
Ce 0.000 0.000 0.000
Ce 0.000 1.857 5.325
Er 2.301 0.000 7.735
Er 2.301 1.857 2.410
Pd 0.000 0.000 2.909
Pd 0.000 1.857 8.234
Pd 2.301 0.000 4.803
Pd 2.301 1.857 10.128
CELL_PARAMETERS angstrom
4.601 0.000 0.000
0.000 3.714 0.000
0.000 0.000 10.651
```

symmetry	No. 38
M_tot	0.73	μB per formula unit
density of states at the Fermi level	1.66	states/eV/atom
total DFT energy (no corrections)	-6.032	eV per atom
E_form	-0.811	eV per atom